# 1
This record from the Alexandria database describes a relaxed structure of BaU3Tl4S12. The functional is PBE-GGA.

```
BaU3Tl4S12
1.0
9.215 0.000 0.000
-3.072 8.688 0.000
-3.072 -4.344 7.524
S Tl Ba U
12 4 1 3
Direct
0.750 0.250 0.500
0.274 0.000 0.274
0.750 0.500 0.250
0.000 0.274 0.274
0.274 0.274 0.000
0.500 0.250 0.750
0.500 0.750 0.250
0.250 0.750 0.500
0.000 0.726 0.726
0.726 0.726 0.000
0.250 0.500 0.750
0.726 0.000 0.726
0.500 0.000 0.000
0.500 0.500 0.500
0.000 0.500 0.000
0.000 0.000 0.500
0.000 0.000 0.000
0.500 0.500 0.000
0.500 0.000 0.500
0.000 0.500 0.500
```

Output
raw formation energy: -0.921 eV/atom
symmetry: Im-3m (229)

# 2
This record from the Alexandria database describes a relaxed structure of LaMnTc2. The functional is PBE-GGA.

```
LaMnTc2
1.0
-3.123 -0.276 -3.592
-4.310 -1.692 -1.140
-3.134 4.290 0.961
Mn Tc La
1 2 1
Direct
0.750 0.750 0.750
0.469 0.469 0.575
0.031 0.031 0.925
0.250 0.250 0.250
```

Output
energy above the most stable polymorph in this dataset: 0.62 eV per formula unit
symmetry: C2/m (12)
energy relative to the elements: 370 meV/atom

# 3
This record from the Alexandria database describes a relaxed structure of Ti2SiN. The functional is PBE-GGA.

```
Ti2SiN
1.0
-0.946 -3.921 1.158
-3.185 -0.696 2.643
-3.524 -1.806 -1.390
N Ti Si
1 2 1
Direct
0.000 0.000 0.000
0.750 0.750 0.750
0.250 0.250 0.250
0.500 0.500 0.500
```

Output
raw formation energy: 0.120 eV/atom
symmetry: Fm-3m (225)

# 4
This record from the Alexandria database describes a relaxed structure of Cs2LiSiSe4. The functional is PBE-GGA.

```
Cs2LiSiSe4
1.0
-2.473 4.147 3.647
-7.831 -0.525 0.307
-0.289 -6.194 11.866
Cs Si Se Li
4 2 8 2
Direct
0.177 0.000 0.647
0.823 0.000 0.353
0.927 0.500 0.147
0.573 0.500 0.853
0.500 0.000 0.000
0.250 0.500 0.500
0.892 0.684 0.601
0.858 0.816 0.899
0.243 0.184 0.899
0.507 0.316 0.601
0.424 0.684 0.399
0.326 0.816 0.101
0.572 0.184 0.101
0.178 0.316 0.399
0.000 0.000 0.000
0.750 0.500 0.500
```

Output
raw formation energy: -0.922 eV/atom
symmetry: Fddd (70)

# 5
This record from the Alexandria database describes a relaxed structure of RbNa2I. The functional is PBE-GGA.

```
RbNa2I
1.0
4.520 0.000 0.000
2.260 3.915 0.000
2.260 1.305 12.090
Na Rb I
2 1 1
Direct
0.887 0.887 0.338
0.113 0.113 0.662
0.000 0.000 0.000
0.500 0.500 0.500
```

Output
raw formation energy: -0.464 eV/atom
energy above the most stable polymorph in this dataset: 0.07 eV per formula unit
symmetry: R-3m (166)

# 6
This record from the Alexandria database describes a relaxed structure of NaZn4Ge3. The functional is PBE-GGA.

```
NaZn4Ge3
1.0
-0.982 3.416 2.376
-3.833 0.207 -1.883
-3.193 -5.052 5.943
Zn Na Ge
4 1 3
Direct
0.000 0.500 0.814
0.000 0.500 0.186
0.500 0.000 0.814
0.500 0.000 0.186
0.000 0.000 0.500
0.000 0.000 0.000
0.500 0.500 0.649
0.500 0.500 0.351
```

Output
symmetry: P4/mmm (123)
energy relative to the elements: -29 meV/atom

# 7
This record from the Alexandria database describes a relaxed structure of Li8SbPd2. The functional is PBE-GGA.

```
Li8SbPd2
1.0
-3.097 -1.701 2.600
-2.478 -4.809 -5.864
2.249 -6.222 -1.275
Li Pd Sb
8 2 1
Direct
0.003 0.696 0.268
0.997 0.304 0.732
0.500 0.745 0.511
0.997 0.036 0.268
0.500 0.255 0.489
0.505 0.658 0.000
0.003 0.964 0.732
0.495 0.342 0.000
0.000 0.622 0.756
0.000 0.378 0.244
0.500 0.000 0.000
```

Output
raw formation energy: -0.374 eV/atom
symmetry: C2/m (12)

# 8
This record from the Alexandria database describes a relaxed structure of La3ZrPd. The functional is PBE-GGA.

```
La3ZrPd
1.0
5.617 0.000 0.000
0.000 5.617 0.000
0.000 0.000 5.617
Pd Zr La
1 1 3
Direct
0.000 0.000 0.000
0.500 0.500 0.500
0.000 0.000 0.500
0.500 0.000 0.000
0.000 0.500 0.000
```

Output
energy above the most stable polymorph in this dataset: 0.00 eV per formula unit
symmetry: Pm-3m (221)
energy relative to the elements: 191 meV/atom

# 9
This record from the Alexandria database describes a relaxed structure of MgSb2H. The functional is PBE-GGA.

```
MgSb2H
1.0
-0.382 -4.703 -1.193
0.322 -3.419 3.449
-3.952 -2.527 1.298
Sb H Mg
2 1 1
Direct
0.750 0.750 0.750
0.250 0.250 0.250
0.000 0.000 0.000
0.500 0.500 0.500
```

Output
energy above the most stable polymorph in this dataset: 0.56 eV per formula unit
symmetry: Fm-3m (225)

# 10
This record from the Alexandria database describes a relaxed structure of Y12Ho5Sc2. The functional is PBE-GGA.

```
Y12Ho5Sc2
1.0
9.204 0.000 0.000
-4.602 7.589 1.182
0.000 -1.612 8.389
Y Sc Ho
12 2 5
Direct
0.436 0.258 0.677
0.443 0.886 0.666
0.177 0.742 0.323
0.329 0.295 0.233
0.557 0.114 0.334
0.823 0.258 0.677
0.074 0.149 0.874
0.671 0.705 0.767
0.034 0.705 0.767
0.966 0.295 0.233
0.926 0.851 0.126
0.564 0.742 0.323
0.333 0.000 0.000
0.667 0.000 0.000
0.769 0.539 0.431
0.297 0.594 0.977
0.231 0.461 0.569
0.703 0.406 0.023
0.000 0.000 0.500
```

Output
symmetry: C2/m (12)
energy relative to the elements: 121 meV/atom

# 11
This record from the Alexandria database describes a relaxed structure of PmCuAu3. The functional is PBE-GGA.

```
PmCuAu3
1.0
-3.455 -5.012 -3.346
3.418 -3.950 -1.416
-0.980 -2.615 4.929
Pm Au Cu
2 6 2
Direct
0.599 0.720 0.552
0.962 0.245 0.052
0.070 0.690 0.310
0.491 0.276 0.810
0.395 0.788 0.052
0.166 0.178 0.552
0.491 0.276 0.295
0.070 0.690 0.795
0.823 0.104 0.552
0.737 0.862 0.052
```

Output
symmetry: P2_1/m (11)
energy relative to the elements: -446 meV/atom

# 12
This record from the Alexandria database describes a relaxed structure of La2Ho4Mg. The functional is PBE-GGA.

```
La2Ho4Mg
1.0
-4.318 -4.951 -4.831
4.053 -6.426 2.963
-2.200 5.342 3.373
Ho La Mg
4 2 1
Direct
0.115 0.115 0.830
0.885 0.286 0.170
0.286 0.885 0.170
0.714 0.714 0.830
0.250 0.750 0.500
0.750 0.250 0.500
0.500 0.500 0.000
```

Output
symmetry: I-42m (121)
energy relative to the elements: 323 meV/atom